Entry from Alexandria via LeMat-Bulk: a relaxed structure of MgCu2Hg2 (PBE-GGA).

Cell lengths 4.1592, 4.1592, 11.7146 Å; angles 90.00, 90.00, 90.00 degrees
With the nearest neighbours (Å) after each atom.
Space group I4/mmm (No. 139)
Asymmetric unit:
Mg (0.0000, 0.0000, 0.0000) x2  8 Cu 3.16
Cu (0.0000, 0.0000, 0.4014) x4  1 Cu 2.31
Hg (0.0000, 0.5000, 0.2500) x4  4 Cu 2.73, 4 Hg 2.94

Output
E_form ... 0.2016 eV/atom
Relative energy among the computed polymorphs ... 0.83 eV per formula unit

***

Entry from Alexandria via LeMat-Bulk: a relaxed structure of Mn2RhBr (PBE-GGA).

Cell lengths 3.2401, 3.4028, 14.2008 Å; angles 90.00, 90.00, 90.00 degrees
With the nearest neighbours (Å) after each atom.
Space group Imm2 (No. 44)
Asymmetric unit:
Mn (0.0000, 0.0000, 0.0000) x2  2 Rh 2.54
Mn (0.0000, 0.5000, 0.2899) x2  4 Rh 2.59
Rh (0.0000, 0.5000, 0.8674) x2  6 Mn 2.54-2.59
Br (0.0000, 0.0000, 0.6173) x2  6 Mn 2.88-2.94

Output
Relative energy among the computed polymorphs ... 0.78 eV per formula unit
E_form (uncorrected) ... 234 meV/atom

***

Entry from Alexandria via LeMat-Bulk: a relaxed structure of ThGa2Pd (PBE-GGA).

Cell lengths 8.3201, 6.8053, 5.7329 Å; angles 90.00, 90.00, 90.00 degrees
With the nearest neighbours (Å) after each atom.
Space group Pnma (No. 62)
Asymmetric unit:
Th (0.0402, 0.2500, 0.1215) x4  2 Pd 3.02-3.11, 6 Ga 3.08-3.35
Ga (0.1871, 0.0562, 0.6146) x8  3 Pd 2.64-2.71, 1 Ga 2.64
Pd (0.0900, 0.7500, 0.3702) x4  6 Ga 2.64-2.71

Output
E_form ... -0.6601 eV/atom

***

Entry from Alexandria via LeMat-Bulk: a relaxed structure of Rb2InH6Au (PBE-GGA).

Cell lengths 5.6296, 5.6296, 9.4717 Å; angles 90.00, 90.00, 90.00 degrees
With the nearest neighbours (Å) after each atom.
Space group I4/mmm (No. 139)
Asymmetric unit:
Rb (0.0000, 0.5000, 0.2500) x4  12 H 2.84-3.10
In (0.0000, 0.0000, 0.0000) x2  6 H 1.98-2.17
H (0.0000, 0.0000, 0.2095) x4  1 In 1.98
H (0.2276, 0.2276, 0.5000) x8  1 Au 1.81
Au (0.0000, 0.0000, 0.5000) x2  4 H 1.81

Output
Raw total energy ... -56.7 eV for the cell shown

***

Entry from Alexandria via LeMat-Bulk: a relaxed structure of NbAsS2Cl (PBE-GGA).

Cell lengths 4.8600, 4.8600, 4.6570 Å; angles 90.00, 90.00, 90.00 degrees
With the nearest neighbours (Å) after each atom.
Space group P4/mmm (No. 123)
Asymmetric unit:
Nb (0.0000, 0.0000, 0.0000) x1  8 S 3.37, 4 Cl 3.44
As (0.5000, 0.5000, 0.5000) x1  2 Cl 2.33, 4 S 2.43
S (0.0000, 0.5000, 0.5000) x2  2 As 2.43
Cl (0.5000, 0.5000, 0.0000) x1  2 As 2.33

Output
Relative energy among the computed polymorphs ... 3.05 eV per formula unit
E_form (uncorrected) ... 608 meV/atom

***

Entry from Alexandria via LeMat-Bulk: a relaxed structure of LiLaNdGe (PBE-GGA).

Cell lengths 7.4413, 7.4413, 7.4413 Å; angles 90.00, 90.00, 90.00 degrees
With the nearest neighbours (Å) after each atom.
Space group F-43m (No. 216)
Asymmetric unit:
Li (0.0000, 0.0000, 0.0000) x4  4 La 3.22, 4 Nd 3.22
La (0.2500, 0.2500, 0.2500) x4  4 Ge 3.22, 4 Li 3.22
Nd (0.2500, 0.2500, 0.7500) x4  4 Ge 3.22, 4 Li 3.22
Ge (0.0000, 0.0000, 0.5000) x4  4 La 3.22, 4 Nd 3.22

Output
E_form ... -0.4186 eV/atom

***

Entry from Alexandria via LeMat-Bulk: a relaxed structure of Pm3Sm4Er (PBE-GGA).

Cell lengths 11.6476, 7.3475, 6.3487 Å; angles 90.00, 90.00, 90.00 degrees
With the nearest neighbours (Å) after each atom.
Space group Pmn2_1 (No. 31)
Asymmetric unit:
Pm (0.0000, 0.1257, 0.0000) x2  4 Pm 3.60, 6 Sm 3.62-3.68, 2 Er 3.66-3.67
Pm (0.2499, 0.1241, 0.3327) x4  2 Er 3.60, 4 Pm 3.60-3.66, 6 Sm 3.60-3.69
Sm (0.0000, 0.3749, 0.5015) x2  6 Sm 3.58-3.69, 4 Pm 3.61-3.67, 2 Er 3.67-3.68
Sm (0.0000, 0.6250, 0.9983) x2  6 Sm 3.59-3.69, 4 Pm 3.60-3.68, 2 Er 3.66-3.67
Sm (0.2476, 0.6257, 0.3337) x4  1 Er 3.58, 6 Sm 3.58-3.67, 5 Pm 3.62-3.69
Er (0.0000, 0.8753, 0.4991) x2  6 Sm 3.58-3.68, 6 Pm 3.60-3.67

Output
E_form ... 0.0279 eV/atom
Relative energy among the computed polymorphs ... 0.00 eV per formula unit

***

Entry from Alexandria via LeMat-Bulk: a relaxed structure of TiPd4Au7 (PBE-GGA).

Cell lengths 11.1224, 4.9158, 9.5962 Å; angles 90.00, 120.74, 90.00 degrees
With the nearest neighbours (Å) after each atom.
Space group C2/m (No. 12)
Asymmetric unit:
Ti (0.0000, 0.0000, 0.0000) x2  4 Au 2.46-2.72
Pd (0.0702, 0.5000, 0.7745) x4  8 Au 2.65-2.83, 1 Pd 2.91
Pd (0.2236, 0.5000, 0.3184) x4  8 Au 2.77-2.99, 1 Pd 2.91
Au (0.0000, 0.5000, 0.0000) x2  2 Ti 2.46, 2 Pd 2.65
Au (0.0763, 0.0000, 0.3308) x4  4 Au 2.74-3.05, 5 Pd 2.83-2.99, 1 Ti 2.84
Au (0.1403, 0.5000, 0.5456) x4  5 Pd 2.68-2.83, 2 Au 2.74-2.78
Au (0.2004, 0.0000, 0.9173) x4  1 Ti 2.72, 4 Pd 2.75-2.83, 4 Au 2.77-3.01

Output
E_form ... 0.0954 eV/atom

***

Entry from Alexandria via LeMat-Bulk: a relaxed structure of ScFe (PBE-GGA).

Cell lengths 10.0411, 3.1387, 7.0270 Å; angles 90.00, 113.67, 90.00 degrees
With the nearest neighbours (Å) after each atom.
Space group C2/m (No. 12)
Asymmetric unit:
Sc (0.0000, 0.0000, 0.0000) x2  4 Fe 2.93, 8 Sc 3.07-3.17
Sc (0.1677, 0.5000, 0.7714) x4  3 Fe 2.52-2.74
Fe (0.0000, 0.0000, 0.5000) x2  4 Sc 2.52, 4 Fe 2.61
Fe (0.1571, 0.5000, 0.3752) x4  4 Fe 2.53-2.61, 1 Sc 2.74

Output
E_form ... 0.0582 eV/atom

***

Entry from Alexandria via LeMat-Bulk: a relaxed structure of La2Tb7Th2 (PBE-GGA).

Cell lengths 11.2586, 11.5777, 6.1772 Å; angles 90.00, 113.51, 90.00 degrees
With the nearest neighbours (Å) after each atom.
Space group C2/m (No. 12)
Asymmetric unit:
La (0.0000, 0.2172, 0.0000) x4  6 Tb 3.36-3.65, 2 Th 3.74
Tb (0.0000, 0.0000, 0.5000) x2  6 Tb 3.28-3.56
Tb (0.1703, 0.2381, 0.6622) x8  4 Tb 3.19-3.55, 2 La 3.36-3.50
Tb (0.2488, 0.0000, 0.0796) x4  5 Tb 3.38-3.63, 3 Th 3.44-3.56, 2 La 3.65
Th (0.0940, 0.5000, 0.3144) x4  7 Tb 3.44-3.79, 2 Th 3.61-3.69, 2 La 3.74

Output
E_form ... 0.1842 eV/atom

***

Entry from Alexandria via LeMat-Bulk: a relaxed structure of BaAcIn (PBE-GGA).

Cell lengths 4.2455, 4.2455, 51.9251 Å; angles 90.00, 90.00, 120.00 degrees
With the nearest neighbours (Å) after each atom.
Space group R-3m (No. 166, hexagonal axes)
Asymmetric unit:
Ba (0.0000, 0.0000, 0.1312) x6  9 Ba 4.25-4.42, 3 Ac 4.28
Ac (0.0000, 0.0000, 0.2697) x6  3 In 3.48
In (0.0000, 0.0000, 0.3495) x6  3 In 2.97

Output
E_form ... -0.0288 eV/atom
Relative energy among the computed polymorphs ... 0.75 eV per formula unit

***

Entry from Alexandria via LeMat-Bulk: a relaxed structure of Tb3Dy2Er6Mg (PBE-GGA).

Cell lengths 6.0739, 10.5272, 11.6138 Å; angles 90.00, 100.12, 90.00 degrees
With the nearest neighbours (Å) after each atom.
Space group C2/m (No. 12)
Asymmetric unit:
Tb (0.0000, 0.0000, 0.0000) x2  6 Tb 3.50-3.52, 6 Er 3.51-3.52
Tb (0.0000, 0.3341, 0.0000) x4  6 Tb 3.49-3.52, 6 Er 3.51-3.53
Dy (0.0000, 0.1662, 0.5000) x4  6 Er 3.49, 3 Dy 3.50-3.51, 3 Mg 3.50-3.51
Er (0.2482, 0.3337, 0.7480) x8  1 Mg 3.48, 2 Dy 3.49, 6 Er 3.50-3.51, 3 Tb 3.52-3.53
Er (0.2489, 0.0000, 0.7490) x4  2 Dy 3.49, 1 Mg 3.50, 6 Er 3.50-3.51, 3 Tb 3.51
Mg (0.0000, 0.5000, 0.5000) x2  6 Er 3.48-3.50, 6 Dy 3.50-3.51

Output
E_form ... 0.0303 eV/atom

***

Entry from Alexandria via LeMat-Bulk: a relaxed structure of NaMnCu3 (PBE-GGA).

Cell lengths 4.6722, 4.6722, 4.6722 Å; angles 90.00, 90.00, 90.00 degrees
With the nearest neighbours (Å) after each atom.
Space group Pm-3m (No. 221)
Asymmetric unit:
Na (0.0000, 0.0000, 0.0000) x1  12 Cu 3.30
Mn (0.5000, 0.5000, 0.5000) x1  6 Cu 2.34
Cu (0.0000, 0.5000, 0.5000) x3  2 Mn 2.34

Output
E_form ... 0.7544 eV/atom
Relative energy among the computed polymorphs ... 0.00 eV per formula unit

***

Entry from Alexandria via LeMat-Bulk: a relaxed structure of TeOs2Cl (PBE-GGA).

Cell lengths 5.0856, 5.0856, 5.3317 Å; angles 90.00, 90.00, 90.00 degrees
With the nearest neighbours (Å) after each atom.
Space group I-4m2 (No. 119)
Asymmetric unit:
Te (0.0000, 0.0000, 0.0000) x2  6 Os 2.67-2.87, 4 Cl 2.87
Os (0.0000, 0.0000, 0.5000) x2  2 Te 2.67, 4 Cl 2.87, 4 Os 2.87
Os (0.0000, 0.5000, 0.7500) x2  2 Cl 2.67, 4 Os 2.87, 4 Te 2.87
Cl (0.0000, 0.5000, 0.2500) x2  6 Os 2.67-2.87, 4 Te 2.87

Output
Relative energy among the computed polymorphs ... 3.92 eV per formula unit
E_form (uncorrected) ... 1202 meV/atom

***

Entry from Alexandria via LeMat-Bulk: a relaxed structure of PrY2Se3 (PBE-GGA).

Cell lengths 4.1344, 5.8640, 12.4984 Å; angles 90.00, 90.00, 90.00 degrees
With the nearest neighbours (Å) after each atom.
Space group Immm (No. 71)
Asymmetric unit:
Pr (0.0000, 0.0000, 0.0000) x2  6 Se 2.93-3.03
Y (0.0000, 0.0000, 0.3402) x4  6 Se 2.87-2.94
Se (0.0000, 0.5000, 0.0000) x2  4 Y 2.87, 2 Pr 2.93
Se (0.0000, 0.5000, 0.3229) x4  4 Y 2.90-2.94, 2 Pr 3.03

Output
E_form (uncorrected) ... -1787 meV/atom

***

Entry from Alexandria via LeMat-Bulk: a relaxed structure of YHoZnRh (PBE-GGA).

Cell lengths 6.9734, 6.9734, 6.9734 Å; angles 90.00, 90.00, 90.00 degrees
With the nearest neighbours (Å) after each atom.
Space group F-43m (No. 216)
Asymmetric unit:
Y (0.0000, 0.0000, 0.0000) x4  4 Rh 3.02, 4 Zn 3.02
Ho (0.0000, 0.0000, 0.5000) x4  4 Zn 3.02, 4 Rh 3.02
Zn (0.2500, 0.2500, 0.2500) x4  4 Y 3.02, 4 Ho 3.02
Rh (0.2500, 0.2500, 0.7500) x4  4 Ho 3.02, 4 Y 3.02

Output
E_form ... -0.6111 eV/atom
Relative energy among the computed polymorphs ... 0.03 eV per formula unit

***

Entry from Alexandria via LeMat-Bulk: a relaxed structure of Ba2CdNiH6 (PBE-GGA).

Cell lengths 8.1398, 8.1589, 5.7695 Å; angles 90.00, 134.79, 90.00 degrees
With the nearest neighbours (Å) after each atom.
Space group C2/m (No. 12)
Asymmetric unit:
Ba (0.0000, 0.2503, 0.0000) x4  12 H 2.90-2.92
Cd (0.0000, 0.0000, 0.5000) x2  6 H 2.41-2.42
Ni (0.0000, 0.5000, 0.5000) x2  6 H 1.66-1.68
H (0.0000, 0.2957, 0.5000) x4  1 Ni 1.67
H (0.2034, 0.5000, 0.4985) x4  1 Ni 1.66
H (0.2037, 0.5000, 0.9091) x4  1 Ni 1.68

Output
Raw total energy ... -67.7 eV for the cell shown

***

Entry from Alexandria via LeMat-Bulk: a relaxed structure of KIrSe2 (PBE-GGA).

Cell lengths 11.9396, 4.7702, 7.3314 Å; angles 90.00, 102.80, 90.00 degrees
With the nearest neighbours (Å) after each atom.
Space group C2/m (No. 12)
Asymmetric unit:
K (0.1433, 0.0000, 0.1211) x4  7 Se 3.33-3.51, 3 Ir 3.47-3.73, 1 K 3.49
Ir (0.1212, 0.5000, 0.5029) x4  5 Se 2.46-2.56
Se (0.0348, 0.5000, 0.7791) x4  2 Ir 2.46-2.47
Se (0.1911, 0.0000, 0.5869) x4  3 Ir 2.47-2.56

Output
E_form (uncorrected) ... -491 meV/atom

***

Entry from Alexandria via LeMat-Bulk: a relaxed structure of Cs2Pd7Pb12 (PBE-GGA).

Cell lengths 11.7778, 11.7778, 4.6806 Å; angles 90.00, 90.00, 120.00 degrees
With the nearest neighbours (Å) after each atom.
Space group P-6 (No. 174)
Asymmetric unit:
Cs (0.0000, 0.0000, 0.0000) x1  9 Pb 3.82-3.94, 6 Pd 3.86
Cs (0.3333, 0.6667, 0.5000) x1  9 Pb 3.69-4.10, 6 Pd 3.81
Pd (0.0629, 0.6326, 0.0000) x3  5 Pb 2.85-2.93
Pd (0.2763, 0.0340, 0.5000) x3  7 Pb 2.89-3.20
Pd (0.6667, 0.3333, 0.0000) x1  3 Pb 2.86
Pb (0.0510, 0.7730, 0.5000) x3  4 Pd 2.89-3.20
Pb (0.1085, 0.4094, 0.0000) x3  4 Pd 2.93-2.98, 1 Pb 3.23
Pb (0.3862, 0.1980, 0.0000) x3  4 Pd 2.85-2.90
Pb (0.5542, 0.1171, 0.5000) x3  5 Pd 2.91-3.22

Output
E_form ... -0.1716 eV/atom

***

Entry from Alexandria via LeMat-Bulk: a relaxed structure of UCrH (PBE-GGA).

Cell lengths 7.3179, 4.1757, 5.2990 Å; angles 90.00, 101.62, 90.00 degrees
With the nearest neighbours (Å) after each atom.
Space group P2_1/c (No. 14)
Asymmetric unit:
U (0.2018, 0.0267, 0.3020) x4  1 Cr 2.14, 4 H 2.22-2.23
Cr (0.4454, 0.7319, 0.3687) x4  1 U 2.14
H (0.0111, 0.7462, 0.0028) x4  2 H 2.06-2.13, 4 U 2.22-2.23

Output
Raw total energy ... -95.8 eV for the cell shown

***

Entry from Alexandria via LeMat-Bulk: a relaxed structure of HfBAu (PBE-GGA).

Cell lengths 15.0177, 3.8988, 3.1763 Å; angles 90.00, 102.05, 90.00 degrees
With the nearest neighbours (Å) after each atom.
Space group Cm (No. 8)
Asymmetric unit:
Hf (0.0000, 0.0000, 0.0000) x2  8 Au 2.82-2.98, 2 B 3.00-3.02
Hf (0.2255, 0.0000, 0.2227) x2  6 B 2.45-2.60
B (0.2706, 0.5000, 0.7677) x2  2 B 1.78-1.79
B (0.3260, 0.5000, 0.3229) x2  2 B 1.78-1.79
Au (0.1084, 0.5000, 0.6074) x2  1 B 2.38
Au (0.4133, 0.0000, 0.4132) x2  2 B 2.33

Output
E_form ... -0.3296 eV/atom

***

Entry from Alexandria via LeMat-Bulk: a relaxed structure of VNi2Au2 (PBE-GGA).

Cell lengths 6.1776, 6.1776, 3.8592 Å; angles 90.00, 90.00, 90.00 degrees
With the nearest neighbours (Å) after each atom.
Space group P4/mbm (No. 127)
Asymmetric unit:
V (0.0000, 0.0000, 0.0000) x2  4 Ni 2.41
Ni (0.1334, 0.3666, 0.0000) x4  1 Ni 2.33, 2 V 2.41, 2 Au 2.58
Au (0.1702, 0.6702, 0.5000) x4  6 Ni 2.58-2.70

Output
E_form ... 0.1216 eV/atom

***

Entry from Alexandria via LeMat-Bulk: a relaxed structure of MnMoP (PBE-GGA).

Cell lengths 2.8290, 3.8078, 7.2008 Å; angles 90.00, 90.00, 90.00 degrees
With the nearest neighbours (Å) after each atom.
Space group Imm2 (No. 44)
Asymmetric unit:
Mn (0.0000, 0.0000, 0.0000) x2  1 P 2.38, 5 Mo 2.39-2.66
Mo (0.0000, 0.0000, 0.6680) x2  5 Mn 2.39-2.66, 5 P 2.43-2.65
P (0.0000, 0.0000, 0.3306) x2  1 Mn 2.38, 5 Mo 2.43-2.65

Output
E_form ... -0.0330 eV/atom

***

Entry from Alexandria via LeMat-Bulk: a relaxed structure of Ag3Se4 (PBE-GGA).

Cell lengths 3.7891, 3.7891, 22.5043 Å; angles 90.00, 90.00, 90.00 degrees
With the nearest neighbours (Å) after each atom.
Space group I4/mmm (No. 139)
Asymmetric unit:
Ag (0.0000, 0.0000, 0.0000) x2  8 Se 2.94
Ag (0.0000, 0.0000, 0.3041) x4  5 Se 2.70-2.78
Se (0.0000, 0.0000, 0.1807) x4  5 Ag 2.70-2.78
Se (0.0000, 0.0000, 0.4462) x4  1 Se 2.42

Output
Relative energy among the computed polymorphs ... 0.41 eV per formula unit
E_form (uncorrected) ... 164 meV/atom

***

In order of appearance, total magnetic moment = 0.00, 9.34, 0.00, 0.00, 2.98, 0.00, 0.00, 0.00, 1.72, 0.00, 0.00, 0.00, 4.14, 0.00, 0.00, 0.00, 0.00, 0.00, 0.00, 0.40, 0.00, 1.37, 0.00, 0.00 μB/f.u..